VASP calculation (PBE) on crystalline HoPuCo10 at its relaxed geometry.

Cell lengths 3.9659, 4.8728, 8.4846 Å; angles 90.00, 90.00, 90.00 degrees
Each line ends with the local moment (μB).
Fractional positions:
Ho: 0.0000 0.0000 0.0000  -0.32
Pu: 0.0000 0.5000 0.5000  4.37
Co: 0.0000 0.0000 0.3359  1.31
Co: 0.0000 0.5000 0.8196  1.35
Co: 0.0000 0.5000 0.1804  1.35
Co: 0.0000 0.0000 0.6641  1.31
Co: 0.5000 0.0000 0.5000  1.46
Co: 0.5000 0.5000 0.0000  1.50
Co: 0.5000 0.2453 0.2454  1.48
Co: 0.5000 0.7547 0.7546  1.48
Co: 0.5000 0.7547 0.2454  1.48
Co: 0.5000 0.2453 0.7546  1.48

SG: Pmmm (47)
E_tot (eV per atom): -7.495
Size of the total moment (μB/f.u.): 18.08